1.
# Pm2Ho6Er3Mg

An optimized crystal structure of Pm2Ho6Er3Mg (PBE, Alexandria).

Unit cell a=6.0863 b=10.5518 c=11.6782 alpha=90.00 beta=100.08 gamma=90.00
Closest atoms and distances in Å follow each position.
Space group C2/m (No. 12)
Symmetry-distinct sites (fractional):
Pm 0.0000 0.1663 0.0000 [4 per cell]  3 Pm 3.51-3.52, 3 Mg 3.51-3.52, 6 Ho 3.54
Ho 0.2493 0.3341 0.2518 [8 per cell]  3 Er 3.50-3.51, 6 Ho 3.50-3.53, 1 Mg 3.53, 2 Pm 3.54
Ho 0.2486 0.5000 0.7471 [4 per cell]  3 Er 3.49-3.50, 6 Ho 3.50-3.53, 2 Pm 3.54, 1 Mg 3.55
Er 0.0000 0.0000 0.5000 [2 per cell]  6 Ho 3.50, 6 Er 3.51-3.53
Er 0.0000 0.3343 0.5000 [4 per cell]  6 Ho 3.49-3.51, 6 Er 3.50-3.53
Mg 0.0000 0.5000 0.0000 [2 per cell]  6 Pm 3.51-3.52, 6 Ho 3.53-3.55

The calculation puts the magnetization at 0.000 μB/f.u. As for the density: 8.121 g/cm3. The formation energy is 23.1 meV per atom.

2.
# Pm2HoEr2Mg5

An optimized crystal structure of Pm2HoEr2Mg5 (PBE, Alexandria).

Unit cell a=10.5866 b=10.5866 c=5.0613 alpha=90.00 beta=90.00 gamma=90.00
Closest atoms and distances in Å follow each position.
Space group P4/mbm (No. 127)
Symmetry-distinct sites (fractional):
Pm 0.1773 0.3227 0.0000 [4 per cell]  3 Er 3.05-3.20
Ho 0.0000 0.0000 0.0000 [2 per cell]  8 Mg 3.37
Er 0.1194 0.6194 0.0000 [4 per cell]  3 Pm 3.05-3.20, 6 Mg 3.10-3.23
Mg 0.0000 0.5000 0.5000 [2 per cell]  4 Er 3.10, 4 Mg 3.28
Mg 0.0696 0.8019 0.5000 [8 per cell]  4 Mg 3.14-3.48, 2 Er 3.23, 2 Ho 3.37

The calculation puts the magnetization at 0.000 μB/f.u. As for the density: 5.333 g/cm3. The formation energy is 42.1 meV per atom.

3.
# Pr4HoEr2Mg

An optimized crystal structure of Pr4HoEr2Mg (PBE, Alexandria).

Unit cell a=5.7951 b=5.7951 c=7.7745 alpha=90.00 beta=90.00 gamma=90.00
Closest atoms and distances in Å follow each position.
Space group P4/mmm (No. 123)
Symmetry-distinct sites (fractional):
Pr 0.0000 0.5000 0.2408 [4 per cell]  2 Mg 3.45, 4 Er 3.45-3.53, 2 Ho 3.53, 1 Pr 3.74
Ho 0.0000 0.0000 0.5000 [1 per cell]  8 Pr 3.53, 2 Er 3.89
Er 0.0000 0.0000 0.0000 [1 per cell]  8 Pr 3.45
Er 0.5000 0.5000 0.5000 [1 per cell]  8 Pr 3.53, 2 Mg 3.89
Mg 0.5000 0.5000 0.0000 [1 per cell]  8 Pr 3.45

The calculation puts the magnetization at 0.000 μB/f.u. As for the density: 6.916 g/cm3. The formation energy is 40.8 meV per atom.

4.
# Pr6Ho2Er3Mg

An optimized crystal structure of Pr6Ho2Er3Mg (PBE, Alexandria).

Unit cell a=6.2524 b=10.8357 c=11.7897 alpha=90.00 beta=100.22 gamma=90.00
Closest atoms and distances in Å follow each position.
Space group C2/m (No. 12)
Symmetry-distinct sites (fractional):
Pr 0.2491 0.1664 0.2492 [8 per cell]  1 Mg 3.56, 2 Ho 3.56-3.57, 3 Er 3.58, 6 Pr 3.61-3.62
Pr 0.2499 0.0000 0.7498 [4 per cell]  3 Er 3.57, 2 Ho 3.57, 1 Mg 3.57, 6 Pr 3.61-3.62
Ho 0.0000 0.3334 0.0000 [4 per cell]  6 Pr 3.56-3.57, 3 Mg 3.61, 3 Ho 3.61
Er 0.0000 0.1667 0.5000 [4 per cell]  6 Pr 3.57-3.58, 6 Er 3.61
Er 0.0000 0.5000 0.5000 [2 per cell]  6 Pr 3.57-3.58, 6 Er 3.61
Mg 0.0000 0.0000 0.0000 [2 per cell]  6 Pr 3.56-3.57, 6 Ho 3.61

The calculation puts the magnetization at 0.000 μB/f.u. As for the density: 7.188 g/cm3. The formation energy is 23.3 meV per atom.

5.
# Pr4Ho2ErMg

An optimized crystal structure of Pr4Ho2ErMg (PBE, Alexandria).

Unit cell a=5.8045 b=5.8045 c=7.7629 alpha=90.00 beta=90.00 gamma=90.00
Closest atoms and distances in Å follow each position.
Space group P4/mmm (No. 123)
Symmetry-distinct sites (fractional):
Pr 0.0000 0.5000 0.2411 [4 per cell]  2 Mg 3.45, 4 Ho 3.45-3.53, 2 Er 3.53, 1 Pr 3.74
Ho 0.0000 0.0000 0.0000 [1 per cell]  8 Pr 3.45
Ho 0.5000 0.5000 0.5000 [1 per cell]  8 Pr 3.53, 2 Mg 3.88
Er 0.0000 0.0000 0.5000 [1 per cell]  8 Pr 3.53, 2 Ho 3.88
Mg 0.5000 0.5000 0.0000 [1 per cell]  8 Pr 3.45

The calculation puts the magnetization at 0.004 μB/f.u. As for the density: 6.889 g/cm3. The formation energy is 41.7 meV per atom.

6.
# Pr2Ho2ErMg5

An optimized crystal structure of Pr2Ho2ErMg5 (PBE, Alexandria).

Unit cell a=10.6261 b=10.6261 c=5.0733 alpha=90.00 beta=90.00 gamma=90.00
Closest atoms and distances in Å follow each position.
Space group P4/mbm (No. 127)
Symmetry-distinct sites (fractional):
Pr 0.1765 0.3235 0.0000 [4 per cell]  3 Ho 3.05-3.21
Ho 0.1203 0.6203 0.0000 [4 per cell]  3 Pr 3.05-3.21, 6 Mg 3.11-3.24
Er 0.0000 0.0000 0.0000 [2 per cell]  8 Mg 3.37
Mg 0.0000 0.5000 0.5000 [2 per cell]  4 Ho 3.11, 4 Mg 3.29
Mg 0.0689 0.8022 0.5000 [8 per cell]  4 Mg 3.15-3.51, 2 Ho 3.24, 2 Er 3.37

The calculation puts the magnetization at 0.000 μB/f.u. As for the density: 5.220 g/cm3. The formation energy is 29.5 meV per atom.

7.
# HoErMgPt

An optimized crystal structure of HoErMgPt (PBE, Alexandria).

Unit cell a=7.1402 b=7.1402 c=7.1402 alpha=90.00 beta=90.00 gamma=90.00
Closest atoms and distances in Å follow each position.
Space group F-43m (No. 216)
Symmetry-distinct sites (fractional):
Ho 0.0000 0.0000 0.0000 [4 per cell]  4 Pt 3.09, 4 Mg 3.09
Er 0.0000 0.0000 0.5000 [4 per cell]  4 Mg 3.09, 4 Pt 3.09
Mg 0.2500 0.2500 0.7500 [4 per cell]  4 Ho 3.09, 4 Er 3.09
Pt 0.2500 0.2500 0.2500 [4 per cell]  4 Er 3.09, 4 Ho 3.09

The calculation puts the magnetization at 0.000 μB/f.u. As for the density: 10.065 g/cm3. The formation energy is -615.9 meV per atom.

8.
# HoErPuMg

An optimized crystal structure of HoErPuMg (PBE, Alexandria).

Unit cell a=7.6689 b=7.6689 c=7.6689 alpha=90.00 beta=90.00 gamma=90.00
Closest atoms and distances in Å follow each position.
Space group F-43m (No. 216)
Symmetry-distinct sites (fractional):
Ho 0.0000 0.0000 0.0000 [4 per cell]  4 Pu 3.32, 4 Mg 3.32
Er 0.0000 0.0000 0.5000 [4 per cell]  4 Mg 3.32, 4 Pu 3.32
Pu 0.2500 0.2500 0.7500 [4 per cell]  4 Ho 3.32, 4 Er 3.32
Mg 0.2500 0.2500 0.2500 [4 per cell]  4 Ho 3.32, 4 Er 3.32

The calculation puts the magnetization at 6.247 μB/f.u. As for the density: 8.843 g/cm3. The formation energy is 146.5 meV per atom.

9.
# HoErMgRh

An optimized crystal structure of HoErMgRh (PBE, Alexandria).

Unit cell a=7.0955 b=7.0955 c=7.0955 alpha=90.00 beta=90.00 gamma=90.00
Closest atoms and distances in Å follow each position.
Space group F-43m (No. 216)
Symmetry-distinct sites (fractional):
Ho 0.0000 0.0000 0.0000 [4 per cell]  4 Mg 3.07, 4 Rh 3.07
Er 0.0000 0.0000 0.5000 [4 per cell]  4 Mg 3.07, 4 Rh 3.07
Mg 0.2500 0.2500 0.7500 [4 per cell]  4 Ho 3.07, 4 Er 3.07
Rh 0.2500 0.2500 0.2500 [4 per cell]  4 Ho 3.07, 4 Er 3.07

The calculation puts the magnetization at 0.000 μB/f.u. As for the density: 8.542 g/cm3. The formation energy is -431.0 meV per atom.

10.
# Ho2ErMgRh4

An optimized crystal structure of Ho2ErMgRh4 (PBE, Alexandria).

Unit cell a=4.7205 b=4.7205 c=23.1556 alpha=90.00 beta=90.00 gamma=120.00
Closest atoms and distances in Å follow each position.
Space group R-3m (No. 166, hexagonal axes)
Symmetry-distinct sites (fractional):
Ho 0.0000 0.0000 0.2450 [6 per cell]  8 Rh 2.79-3.03
Er 0.0000 0.0000 0.0000 [3 per cell]  8 Rh 2.88-2.90
Mg 0.0000 0.0000 0.5000 [3 per cell]  8 Rh 2.88-2.90
Rh 0.0000 0.0000 0.1244 [6 per cell]  4 Ho 2.79-2.85, 1 Er 2.88, 3 Mg 2.90
Rh 0.0000 0.0000 0.3758 [6 per cell]  1 Mg 2.88, 3 Er 2.90, 4 Ho 2.92-3.03

The calculation puts the magnetization at 0.000 μB/f.u. As for the density: 10.402 g/cm3. The formation energy is -844.6 meV per atom.

11.
# Ho6Er2MgSc3

An optimized crystal structure of Ho6Er2MgSc3 (PBE, Alexandria).

Unit cell a=5.9670 b=10.3331 c=11.2996 alpha=90.00 beta=100.17 gamma=90.00
Closest atoms and distances in Å follow each position.
Space group C2/m (No. 12)
Symmetry-distinct sites (fractional):
Ho 0.2484 0.0000 0.2425 [4 per cell]  3 Sc 3.35, 6 Ho 3.44-3.45, 2 Er 3.48, 1 Mg 3.49
Ho 0.2476 0.3331 0.2429 [8 per cell]  3 Sc 3.35-3.36, 6 Ho 3.44-3.45, 2 Er 3.48, 1 Mg 3.48
Er 0.0000 0.3333 0.5000 [4 per cell]  3 Mg 3.44, 3 Er 3.44, 6 Ho 3.48
Mg 0.0000 0.0000 0.5000 [2 per cell]  6 Er 3.44, 6 Ho 3.48-3.49
Sc 0.0000 0.1660 0.0000 [4 per cell]  6 Ho 3.35-3.36, 6 Sc 3.43-3.45
Sc 0.0000 0.5000 0.0000 [2 per cell]  6 Ho 3.35, 6 Sc 3.44-3.45

The calculation puts the magnetization at 0.000 μB/f.u. As for the density: 7.183 g/cm3. The formation energy is 45.6 meV per atom.

12.
# Ho4Er2MgSc

An optimized crystal structure of Ho4Er2MgSc (PBE, Alexandria).

Unit cell a=4.9114 b=4.9114 c=9.6515 alpha=90.00 beta=90.00 gamma=90.00
Closest atoms and distances in Å follow each position.
Space group P4/mmm (No. 123)
Symmetry-distinct sites (fractional):
Ho 0.0000 0.5000 0.2467 [4 per cell]  4 Er 3.42-3.46, 2 Sc 3.42, 2 Mg 3.46, 4 Ho 3.47
Er 0.0000 0.0000 0.0000 [1 per cell]  8 Ho 3.42, 4 Sc 3.47
Er 0.5000 0.5000 0.5000 [1 per cell]  8 Ho 3.46, 4 Mg 3.47
Mg 0.0000 0.0000 0.5000 [1 per cell]  8 Ho 3.46, 4 Er 3.47
Sc 0.5000 0.5000 0.0000 [1 per cell]  8 Ho 3.42, 4 Er 3.47

The calculation puts the magnetization at 0.000 μB/f.u. As for the density: 7.585 g/cm3. The formation energy is 30.1 meV per atom.